1.
A relaxed structure of BeFeSb2, computed with GGA-PBE.

Crystal system: tetragonal

Geometry as CIF:
```
data_BeFeSb2
_chemical_formula_sum 'Be2 Fe2 Sb4'
_space_group_name_H-M_alt 'I -4 m 2'
_space_group_IT_number 119
_space_group_name_Hall 'I -4 -2'
_cell_length_a 3.8059
_cell_length_b 3.8059
_cell_length_c 10.3823
_cell_angle_alpha 90.00
_cell_angle_beta 90.00
_cell_angle_gamma 90.00
loop_
_atom_site_label
_atom_site_type_symbol
_atom_site_fract_x
_atom_site_fract_y
_atom_site_fract_z
Be1 Be 0.0000 0.0000 0.0000
Fe1 Fe 0.0000 0.5000 0.7500
Sb1 Sb 0.0000 0.0000 0.5000
Sb2 Sb 0.0000 0.5000 0.2500
```


2.
A relaxed structure of BeFe2Sb, computed with GGA-PBE.

Offset from the most stable computed form (kJ/mol of formula units): 12
Crystal system: tetragonal

Geometry as CIF:
```
data_BeFe2Sb
_chemical_formula_sum 'Be1 Fe2 Sb1'
_space_group_name_H-M_alt 'P 4 m m'
_space_group_IT_number 99
_space_group_name_Hall 'P 4 -2'
_cell_length_a 3.1212
_cell_length_b 3.1212
_cell_length_c 5.5015
_cell_angle_alpha 90.00
_cell_angle_beta 90.00
_cell_angle_gamma 90.00
loop_
_atom_site_label
_atom_site_type_symbol
_atom_site_fract_x
_atom_site_fract_y
_atom_site_fract_z
Be1 Be 0.0000 0.0000 0.0000
Fe1 Fe 0.0000 0.0000 0.4056
Fe2 Fe 0.5000 0.5000 0.1597
Sb1 Sb 0.5000 0.5000 0.6764
```


3.
A relaxed structure of BeFe2Sb, computed with GGA-PBE.

Offset from the most stable computed form (kJ/mol of formula units): 83
Crystal system: trigonal

Geometry as CIF:
```
data_BeFe2Sb
_chemical_formula_sum 'Be3 Fe6 Sb3'
_space_group_name_H-M_alt 'R -3 m'
_space_group_IT_number 166
_space_group_name_Hall '-R 3 2"'
_cell_length_a 3.2741
_cell_length_b 3.2741
_cell_length_c 17.8879
_cell_angle_alpha 90.00
_cell_angle_beta 90.00
_cell_angle_gamma 120.00
loop_
_atom_site_label
_atom_site_type_symbol
_atom_site_fract_x
_atom_site_fract_y
_atom_site_fract_z
Be1 Be 0.0000 0.0000 0.0000
Fe1 Fe 0.0000 0.0000 0.2766
Sb1 Sb 0.0000 0.0000 0.5000
```


4.
A relaxed structure of BeFe2Sb, computed with GGA-PBE.

Offset from the most stable computed form (kJ/mol of formula units): 25
Crystal system: orthorhombic

Geometry as CIF:
```
data_BeFe2Sb
_chemical_formula_sum 'Be2 Fe4 Sb2'
_space_group_name_H-M_alt 'I m m m'
_space_group_IT_number 71
_space_group_name_Hall '-I 2 2'
_cell_length_a 3.4334
_cell_length_b 4.1900
_cell_length_c 7.0424
_cell_angle_alpha 90.00
_cell_angle_beta 90.00
_cell_angle_gamma 90.00
loop_
_atom_site_label
_atom_site_type_symbol
_atom_site_fract_x
_atom_site_fract_y
_atom_site_fract_z
Be1 Be 0.0000 0.0000 0.0000
Fe1 Fe 0.0000 0.5000 0.2875
Sb1 Sb 0.0000 0.0000 0.5000
```


5.
A relaxed structure of BeFe2Sb, computed with GGA-PBE.

Offset from the most stable computed form (kJ/mol of formula units): 81
Crystal system: monoclinic

Geometry as CIF:
```
data_BeFe2Sb
_chemical_formula_sum 'Be1 Fe2 Sb1'
_space_group_name_H-M_alt 'P 1 2/m 1'
_space_group_IT_number 10
_space_group_name_Hall '-P 2y'
_cell_length_a 2.8316
_cell_length_b 3.5106
_cell_length_c 5.0851
_cell_angle_alpha 90.00
_cell_angle_beta 100.54
_cell_angle_gamma 90.00
loop_
_atom_site_label
_atom_site_type_symbol
_atom_site_fract_x
_atom_site_fract_y
_atom_site_fract_z
Be1 Be 0.0000 0.0000 0.0000
Fe1 Fe 0.3700 0.5000 0.2153
Sb1 Sb 0.0000 0.0000 0.5000
```


6.
A relaxed structure of BeFeSb2Se, computed with GGA-PBE.

Crystal system: tetragonal

Geometry as CIF:
```
data_BeFeSb2Se
_chemical_formula_sum 'Be1 Fe1 Sb2 Se1'
_space_group_name_H-M_alt 'P 4/m m m'
_space_group_IT_number 123
_space_group_name_Hall '-P 4 2'
_cell_length_a 4.9035
_cell_length_b 4.9035
_cell_length_c 4.3020
_cell_angle_alpha 90.00
_cell_angle_beta 90.00
_cell_angle_gamma 90.00
loop_
_atom_site_label
_atom_site_type_symbol
_atom_site_fract_x
_atom_site_fract_y
_atom_site_fract_z
Be1 Be 0.0000 0.0000 0.0000
Fe1 Fe 0.0000 0.0000 0.5000
Sb1 Sb 0.0000 0.5000 0.0000
Se1 Se 0.5000 0.5000 0.5000
```


7.
A relaxed structure of BeFeSb2Te, computed with GGA-PBE.

Offset from the most stable computed form (kJ/mol of formula units): 0
Crystal system: tetragonal

Geometry as CIF:
```
data_BeFeSb2Te
_chemical_formula_sum 'Be1 Fe1 Sb2 Te1'
_space_group_name_H-M_alt 'P 4/m m m'
_space_group_IT_number 123
_space_group_name_Hall '-P 4 2'
_cell_length_a 4.7209
_cell_length_b 4.7209
_cell_length_c 5.6075
_cell_angle_alpha 90.00
_cell_angle_beta 90.00
_cell_angle_gamma 90.00
loop_
_atom_site_label
_atom_site_type_symbol
_atom_site_fract_x
_atom_site_fract_y
_atom_site_fract_z
Be1 Be 0.0000 0.0000 0.0000
Fe1 Fe 0.5000 0.5000 0.5000
Sb1 Sb 0.0000 0.5000 0.5000
Te1 Te 0.5000 0.5000 0.0000
```


8.
A relaxed structure of BeFeSb2Te, computed with GGA-PBE.

Offset from the most stable computed form (kJ/mol of formula units): 37
Crystal system: tetragonal

Geometry as CIF:
```
data_BeFeSb2Te
_chemical_formula_sum 'Be1 Fe1 Sb2 Te1'
_space_group_name_H-M_alt 'P 4/m m m'
_space_group_IT_number 123
_space_group_name_Hall '-P 4 2'
_cell_length_a 4.7380
_cell_length_b 4.7380
_cell_length_c 4.9960
_cell_angle_alpha 90.00
_cell_angle_beta 90.00
_cell_angle_gamma 90.00
loop_
_atom_site_label
_atom_site_type_symbol
_atom_site_fract_x
_atom_site_fract_y
_atom_site_fract_z
Be1 Be 0.0000 0.0000 0.0000
Fe1 Fe 0.5000 0.5000 0.5000
Sb1 Sb 0.0000 0.5000 0.0000
Te1 Te 0.0000 0.0000 0.5000
```


no.,electronic total energy (eV per cell)
1,-35.927
2,-24.144
3,-70.207
4,-48.006
5,-23.427
6,-20.665
7,-19.542
8,-19.164